DFT (GGA-PBE) results for a relaxed LiPr2PuAu4 crystal.

Volume ... 24.09 Å³ per atom
Total DFT energy (no corrections) ... -5.47 eV per atom
Formation energy from the elements ... -0.61 eV/atom

Cell: 5.1610 5.1610 25.0629 Å, 90.00 90.00 120.00°
Space group R-3m (No. 166, hexagonal axes)
Inequivalent atoms, fractional coordinates:
Li 0.0000 0.0000 0.0000 x3
Pr 0.0000 0.0000 0.2552 x6
Pu 0.0000 0.0000 0.5000 x3
Au 0.0000 0.0000 0.1263 x6
Au 0.0000 0.0000 0.3778 x6